Entry from the Alexandria database: a relaxed structure of PRu (PBE-GGA).

Cell: 3.730 3.730 5.919 Å, 90.00 90.00 120.00°
Element x y z (fractional)
P1 0.333 0.667 0.000
P2 0.667 0.333 0.500
Ru1 0.333 0.667 0.383
Ru2 0.667 0.333 0.883

Values from the calculation:
ΔE_f   -0.2049 eV per atom
Theoretical density   6.150 g cm⁻³
Size of the total moment   0.000 μB/atom
Space group   No. 186
N(E_F)   0.542 states/eV/atom
Energy above the most stable polymorph in this dataset   0.356 eV/atom
E   -7.55 eV per atom
Crystal system   hexagonal